# 1
First-principles (GGA-PBE) data for crystalline Cs2MnAsS4 at its relaxed geometry, as listed in Alexandria.

Computed properties:
The space group is Fddd, No. 70. The raw total energy is -4.708 eV/atom. The uncorrected formation energy is -0.70 eV/atom.

Geometry as POSCAR:
```
Cs2MnAsS4
1.0
6.305 0.000 0.000
3.152 6.979 0.000
3.152 0.000 12.433
Mn Cs S As
2 4 8 2
direct
0.750 0.500 0.500
0.000 0.000 0.000
0.927 0.500 0.146
0.823 0.000 0.354
0.573 0.500 0.854
0.177 0.000 0.646
0.608 0.181 0.096
0.296 0.819 0.096
0.211 0.181 0.904
0.142 0.319 0.404
0.539 0.319 0.596
0.865 0.681 0.596
0.885 0.819 0.904
0.454 0.681 0.404
0.500 0.000 0.000
0.250 0.500 0.500
```



# 2
First-principles (GGA-PBE) data for crystalline CsMnAs2Se at its relaxed geometry, as listed in Alexandria.

Computed properties:
The excess energy over the best structure of this formula in the dataset comes out at 0 meV/atom. The space group is P4/mmm, No. 123. The raw total energy is -4.590 eV/atom. The uncorrected formation energy is -0.03 eV/atom.

Geometry as POSCAR:
```
CsMnAs2Se
1.0
-3.180 1.590 3.340
-3.613 -0.390 -3.254
-0.882 -5.110 1.592
As Cs Mn Se
2 1 1 1
direct
0.000 0.500 0.000
0.500 0.000 0.000
0.500 0.500 0.500
0.000 0.000 0.000
0.000 0.000 0.500
```



# 3
First-principles (GGA-PBE) data for crystalline CsMnAs2Se at its relaxed geometry, as listed in Alexandria.

Computed properties:
The excess energy over the best structure of this formula in the dataset comes out at 1772 meV/atom. The space group is P4/mmm, No. 123. The raw total energy is -2.818 eV/atom. The uncorrected formation energy is 1.74 eV/atom.

Geometry as POSCAR:
```
CsMnAs2Se
1.0
-0.171 -3.952 4.314
4.083 -3.171 -2.744
4.024 2.813 2.736
Se As Cs Mn
1 2 1 1
direct
0.000 0.000 0.500
0.500 0.000 0.000
0.000 0.500 0.000
0.000 0.000 0.000
0.500 0.500 0.500
```